Entry 1:
Below is a relaxed structure of Li4Tb3GeS8, with properties calculated at the PBE-GGA level.

The structure in CIF format:
```
data_Li4Tb3GeS8
_chemical_formula_sum 'Li12 Tb9 Ge3 S24'
_cell_length_a 7.7498
_cell_length_b 7.7498
_cell_length_c 18.4457
_cell_angle_alpha 90.00
_cell_angle_beta 90.00
_cell_angle_gamma 120.00
_symmetry_space_group_name_H-M 'R -3 m'
_symmetry_Int_Tables_number 166
_symmetry_space_group_name_Hall '-R 3 2"'
loop_
_atom_site_label
_atom_site_fract_x
_atom_site_fract_y
_atom_site_fract_z
Li1 0.0000 0.0000 0.0000
Li2 0.0000 0.5000 0.0000
Tb1 0.0000 0.5000 0.5000
Ge1 0.0000 0.0000 0.5000
S1 0.0000 0.0000 0.2512
S2 0.0149 0.5075 0.2488
```

The crystal system is trigonal. The calculation puts the total energy at -250.14 eV per cell.


Entry 2:
Below is a relaxed structure of Li3Tb3GeS8, with properties calculated at the PBE-GGA level.

The structure in CIF format:
```
data_Li3Tb3GeS8
_chemical_formula_sum 'Li9 Tb9 Ge3 S24'
_cell_length_a 7.7612
_cell_length_b 7.7612
_cell_length_c 18.3914
_cell_angle_alpha 90.00
_cell_angle_beta 90.00
_cell_angle_gamma 120.00
_symmetry_space_group_name_H-M 'R -3 m'
_symmetry_Int_Tables_number 166
_symmetry_space_group_name_Hall '-R 3 2"'
loop_
_atom_site_label
_atom_site_fract_x
_atom_site_fract_y
_atom_site_fract_z
Li1 0.0000 0.5000 0.0000
Tb1 0.0000 0.5000 0.5000
Ge1 0.0000 0.0000 0.5000
S1 0.0000 0.0000 0.2501
S2 0.0337 0.5168 0.2454
```

The crystal system is trigonal. The calculation puts the total energy at -238.10 eV per cell.


Entry 3:
Below is a relaxed structure of Li2TbGeS4, with properties calculated at the PBE-GGA level.

The structure in CIF format:
```
data_Li2TbGeS4
_chemical_formula_sum 'Li2 Tb1 Ge1 S4'
_cell_length_a 6.511
_cell_length_b 3.776
_cell_length_c 6.627
_cell_angle_alpha 90.00
_cell_angle_beta 109.73
_cell_angle_gamma 90.00
_symmetry_space_group_name_H-M 'P 1 2/m 1'
_symmetry_Int_Tables_number 10
loop_
_symmetry_equiv_pos_as_xyz
'x,y,z'
'-x,-y,-z'
'-x,y,-z'
'x,-y,z'
loop_
_atom_site_label
_atom_site_fract_x
_atom_site_fract_y
_atom_site_fract_z
Li1 0.000 0.000 0.000
Li2 0.000 0.500 0.500
Tb1 0.500 0.000 0.500
Ge1 0.500 0.500 0.000
S1 0.251 0.500 0.234
S2 0.255 0.000 0.764
```

The crystal system is monoclinic. The calculation puts the total energy at -39.14 eV per cell.


Entry 4:
Below is a relaxed structure of LiTbGe2S6, with properties calculated at the PBE-GGA level.

The structure in CIF format:
```
data_LiTbGe2S6
_chemical_formula_sum 'Li4 Tb4 Ge8 S24'
_cell_length_a 12.590
_cell_length_b 11.645
_cell_length_c 6.584
_cell_angle_alpha 90.00
_cell_angle_beta 105.31
_cell_angle_gamma 90.00
_symmetry_space_group_name_H-M 'C 1 2/c 1'
_symmetry_Int_Tables_number 15
loop_
_symmetry_equiv_pos_as_xyz
'x,y,z'
'-x,-y,-z'
'-x,y,-z+1/2'
'x,-y,z+1/2'
'x+1/2,y+1/2,z'
'-x+1/2,-y+1/2,-z'
'-x+1/2,y+1/2,-z+1/2'
'x+1/2,-y+1/2,z+1/2'
loop_
_atom_site_label
_atom_site_fract_x
_atom_site_fract_y
_atom_site_fract_z
Li1 0.000 0.231 0.250
Tb1 0.000 0.383 0.750
Ge1 0.201 0.081 0.762
S1 0.114 0.417 0.163
S2 0.133 0.242 0.606
S3 0.135 0.071 0.051
```

The crystal system is monoclinic. The calculation puts the total energy at -197.06 eV per cell.


Entry 5:
Below is a relaxed structure of LiGe2TeS6, with properties calculated at the PBE-GGA level.

The structure in CIF format:
```
data_LiGe2TeS6
_chemical_formula_sum 'Li4 Ge8 Te4 S24'
_cell_length_a 12.593
_cell_length_b 10.838
_cell_length_c 6.913
_cell_angle_alpha 90.00
_cell_angle_beta 109.24
_cell_angle_gamma 90.00
_symmetry_space_group_name_H-M 'C 1 2/c 1'
_symmetry_Int_Tables_number 15
loop_
_symmetry_equiv_pos_as_xyz
'x,y,z'
'-x,-y,-z'
'-x,y,-z+1/2'
'x,-y,z+1/2'
'x+1/2,y+1/2,z'
'-x+1/2,-y+1/2,-z'
'-x+1/2,y+1/2,-z+1/2'
'x+1/2,-y+1/2,z+1/2'
loop_
_atom_site_label
_atom_site_fract_x
_atom_site_fract_y
_atom_site_fract_z
Li1 0.000 0.106 0.250
Ge1 0.212 0.411 0.229
Te1 0.000 0.286 0.750
S1 0.101 0.087 0.644
S2 0.130 0.448 0.476
S3 0.139 0.227 0.118
```

The crystal system is monoclinic. The calculation puts the total energy at -167.43 eV per cell.


Entry 6:
Below is a relaxed structure of Li2GeTeS4, with properties calculated at the PBE-GGA level.

The structure in CIF format:
```
data_Li2GeTeS4
_chemical_formula_sum 'Li2 Ge1 Te1 S4'
_cell_length_a 5.492
_cell_length_b 5.565
_cell_length_c 6.356
_cell_angle_alpha 102.71
_cell_angle_beta 103.36
_cell_angle_gamma 91.68
_symmetry_space_group_name_H-M 'P 1'
_symmetry_Int_Tables_number 1
loop_
_symmetry_equiv_pos_as_xyz
'x,y,z'
loop_
_atom_site_label
_atom_site_fract_x
_atom_site_fract_y
_atom_site_fract_z
Li1 0.000 0.000 0.000
Li2 0.423 0.795 0.471
Ge1 0.933 0.298 0.495
Te1 0.630 0.339 0.960
S1 0.104 0.447 0.260
S2 0.208 0.095 0.705
S3 0.654 0.008 0.264
S4 0.764 0.598 0.715
```

The crystal system is triclinic. The calculation puts the total energy at -32.85 eV per cell.


Entry 7:
Below is a relaxed structure of Li4Ti3GeS8, with properties calculated at the PBE-GGA level.

The structure in CIF format:
```
data_Li4Ti3GeS8
_chemical_formula_sum 'Li12 Ti9 Ge3 S24'
_cell_length_a 7.1604
_cell_length_b 7.1604
_cell_length_c 18.0990
_cell_angle_alpha 90.00
_cell_angle_beta 90.00
_cell_angle_gamma 120.00
_symmetry_space_group_name_H-M 'R -3 m'
_symmetry_Int_Tables_number 166
_symmetry_space_group_name_Hall '-R 3 2"'
loop_
_atom_site_label
_atom_site_fract_x
_atom_site_fract_y
_atom_site_fract_z
Li1 0.0000 0.0000 0.0000
Li2 0.0000 0.5000 0.0000
Ti1 0.0000 0.5000 0.5000
Ge1 0.0000 0.0000 0.5000
S1 0.0000 0.0000 0.2457
S2 0.0089 0.5044 0.7555
```

The crystal system is trigonal. The calculation puts the total energy at -265.89 eV per cell.


Entry 8:
Below is a relaxed structure of LiTl2GeS4, with properties calculated at the PBE-GGA level.

The structure in CIF format:
```
data_LiTl2GeS4
_chemical_formula_sum 'Li2 Tl4 Ge2 S8'
_cell_length_a 6.934
_cell_length_b 6.934
_cell_length_c 8.467
_cell_angle_alpha 90.00
_cell_angle_beta 90.00
_cell_angle_gamma 90.00
_symmetry_space_group_name_H-M 'I -4'
_symmetry_Int_Tables_number 82
loop_
_symmetry_equiv_pos_as_xyz
'x,y,z'
'y,-x,-z'
'-x,-y,z'
'-y,x,-z'
'x+1/2,y+1/2,z+1/2'
'y+1/2,-x+1/2,-z+1/2'
'-x+1/2,-y+1/2,z+1/2'
'-y+1/2,x+1/2,-z+1/2'
loop_
_atom_site_label
_atom_site_fract_x
_atom_site_fract_y
_atom_site_fract_z
Li1 0.000 0.000 0.000
Tl1 0.000 0.000 0.500
Tl2 0.000 0.500 0.750
Ge1 0.000 0.500 0.250
S1 0.168 0.288 0.107
```

The crystal system is tetragonal. The calculation puts the total energy at -63.36 eV per cell.


Entry 9:
Below is a relaxed structure of Li2TlGeS4, with properties calculated at the PBE-GGA level.

The structure in CIF format:
```
data_Li2TlGeS4
_chemical_formula_sum 'Li4 Tl2 Ge2 S8'
_cell_length_a 6.044
_cell_length_b 6.044
_cell_length_c 10.081
_cell_angle_alpha 90.00
_cell_angle_beta 90.00
_cell_angle_gamma 90.00
_symmetry_space_group_name_H-M 'I -4 2 m'
_symmetry_Int_Tables_number 121
_symmetry_space_group_name_Hall 'I -4 2'
loop_
_atom_site_label
_atom_site_fract_x
_atom_site_fract_y
_atom_site_fract_z
Li1 0.000 0.500 0.250
Tl1 0.000 0.000 0.000
Ge1 0.000 0.000 0.500
S1 0.207 0.207 0.636
```

The crystal system is tetragonal. The calculation puts the total energy at -65.99 eV per cell.


Entry 10:
Below is a relaxed structure of Li3Tm3GeS8, with properties calculated at the PBE-GGA level.

The structure in CIF format:
```
data_Li3Tm3GeS8
_chemical_formula_sum 'Li9 Tm9 Ge3 S24'
_cell_length_a 7.6232
_cell_length_b 7.6232
_cell_length_c 18.4253
_cell_angle_alpha 90.00
_cell_angle_beta 90.00
_cell_angle_gamma 120.00
_symmetry_space_group_name_H-M 'R -3 m'
_symmetry_Int_Tables_number 166
_symmetry_space_group_name_Hall '-R 3 2"'
loop_
_atom_site_label
_atom_site_fract_x
_atom_site_fract_y
_atom_site_fract_z
Li1 0.0000 0.5000 0.0000
Tm1 0.0000 0.5000 0.5000
Ge1 0.0000 0.0000 0.5000
S1 0.0000 0.0000 0.2489
S2 0.0287 0.5143 0.2450
```

The crystal system is trigonal. The calculation puts the total energy at -237.52 eV per cell.


Entry 11:
Below is a relaxed structure of Li2TmGeS4, with properties calculated at the PBE-GGA level.

The structure in CIF format:
```
data_Li2TmGeS4
_chemical_formula_sum 'Li2 Tm1 Ge1 S4'
_cell_length_a 6.498
_cell_length_b 3.733
_cell_length_c 6.564
_cell_angle_alpha 90.00
_cell_angle_beta 109.65
_cell_angle_gamma 90.00
_symmetry_space_group_name_H-M 'P 1 2/m 1'
_symmetry_Int_Tables_number 10
loop_
_symmetry_equiv_pos_as_xyz
'x,y,z'
'-x,-y,-z'
'-x,y,-z'
'x,-y,z'
loop_
_atom_site_label
_atom_site_fract_x
_atom_site_fract_y
_atom_site_fract_z
Li1 0.000 0.000 0.000
Li2 0.000 0.500 0.500
Tm1 0.500 0.000 0.500
Ge1 0.500 0.500 0.000
S1 0.254 0.500 0.239
S2 0.257 0.000 0.761
```

The crystal system is monoclinic. The calculation puts the total energy at -39.12 eV per cell.


Entry 12:
Below is a relaxed structure of LiTmGe2S6, with properties calculated at the PBE-GGA level.

The structure in CIF format:
```
data_LiTmGe2S6
_chemical_formula_sum 'Li4 Tm4 Ge8 S24'
_cell_length_a 12.472
_cell_length_b 11.492
_cell_length_c 6.523
_cell_angle_alpha 90.00
_cell_angle_beta 104.38
_cell_angle_gamma 90.00
_symmetry_space_group_name_H-M 'C 1 2/c 1'
_symmetry_Int_Tables_number 15
loop_
_symmetry_equiv_pos_as_xyz
'x,y,z'
'-x,-y,-z'
'-x,y,-z+1/2'
'x,-y,z+1/2'
'x+1/2,y+1/2,z'
'-x+1/2,-y+1/2,-z'
'-x+1/2,y+1/2,-z+1/2'
'x+1/2,-y+1/2,z+1/2'
loop_
_atom_site_label
_atom_site_fract_x
_atom_site_fract_y
_atom_site_fract_z
Li1 0.000 0.229 0.250
Tm1 0.000 0.386 0.750
Ge1 0.200 0.083 0.773
S1 0.113 0.417 0.156
S2 0.132 0.244 0.610
S3 0.135 0.073 0.067
```

The crystal system is monoclinic. The calculation puts the total energy at -196.48 eV per cell.